[1]
BaMnOF2: relaxed, GGA+U.

The energy above the lowest structure with this stoichiometry is 0 meV per atom. The volume is 15.566 Å³ per atom.

Structure (CIF):
```
data_BaMnOF2
_chemical_formula_sum 'Ba1 Mn1 O1 F2'
_cell_length_a 4.3020
_cell_length_b 4.3020
_cell_length_c 4.2054
_cell_angle_alpha 90.00
_cell_angle_beta 90.00
_cell_angle_gamma 90.00
_space_group_name_H-M_alt 'P 4/m m m'
_space_group_IT_number 123
_space_group_name_Hall '-P 4 2'
loop_
_atom_site_label
_atom_site_type_symbol
_atom_site_fract_x
_atom_site_fract_y
_atom_site_fract_z
Ba1 Ba 0.0000 0.0000 0.0000
Mn1 Mn 0.5000 0.5000 0.5000
O1 O 0.5000 0.5000 0.0000
F1 F 0.0000 0.5000 0.5000
```

---

[2]
Ba2MnOF5: relaxed, GGA+U.

The volume is 15.622 Å³ per atom. As for the electronic total energy: -5.81 eV/atom.

Structure (CIF):
```
data_Ba2MnOF5
_chemical_formula_sum 'Ba4 Mn2 O2 F10'
_cell_length_a 5.7559
_cell_length_b 5.7559
_cell_length_c 8.4875
_cell_angle_alpha 90.00
_cell_angle_beta 90.00
_cell_angle_gamma 90.00
_space_group_name_H-M_alt 'I 4 m m'
_space_group_IT_number 107
_space_group_name_Hall 'I 4 -2'
loop_
_atom_site_label
_atom_site_type_symbol
_atom_site_fract_x
_atom_site_fract_y
_atom_site_fract_z
Ba1 Ba 0.0000 0.5000 0.0000
Mn1 Mn 0.0000 0.0000 0.2396
O1 O 0.0000 0.0000 0.0292
F1 F 0.0000 0.0000 0.4781
F2 F 0.2400 0.2400 0.2546
```

---

[3]
BaMnPb2F8: relaxed, GGA+U.

The volume is 17.137 Å³ per atom. As for the electronic total energy: -5.45 eV/atom.

Structure (CIF):
```
data_BaMnPb2F8
_chemical_formula_sum 'Ba1 Mn1 Pb2 F8'
_cell_length_a 4.3084
_cell_length_b 8.2089
_cell_length_c 5.8300
_cell_angle_alpha 90.00
_cell_angle_beta 94.18
_cell_angle_gamma 90.00
_space_group_name_H-M_alt 'P 1 2/m 1'
_space_group_IT_number 10
loop_
_space_group_symop_operation_xyz
'x,y,z'
'-x,-y,-z'
'-x,y,-z'
'x,-y,z'
loop_
_atom_site_label
_atom_site_type_symbol
_atom_site_fract_x
_atom_site_fract_y
_atom_site_fract_z
Ba1 Ba 0.0000 0.0000 0.0000
Mn1 Mn 0.0000 0.5000 0.0000
Pb1 Pb 0.5000 0.2689 0.5000
F1 F 0.0337 0.2851 0.7607
F2 F 0.4381 0.5000 0.2247
F3 F 0.4832 0.0000 0.7379
```

---

[4]
Rb2BaMnF6: relaxed, GGA+U.

The energy above the lowest structure with this stoichiometry is 10 meV per atom. The volume is 20.612 Å³ per atom.

Structure (CIF):
```
data_Rb2BaMnF6
_chemical_formula_sum 'Rb8 Ba4 Mn4 F24'
_cell_length_a 9.3770
_cell_length_b 9.3770
_cell_length_c 9.3770
_cell_angle_alpha 90.00
_cell_angle_beta 90.00
_cell_angle_gamma 90.00
_space_group_name_H-M_alt 'F m -3 m'
_space_group_IT_number 225
_space_group_name_Hall '-F 4 2 3'
loop_
_atom_site_label
_atom_site_type_symbol
_atom_site_fract_x
_atom_site_fract_y
_atom_site_fract_z
Rb1 Rb 0.2500 0.2500 0.2500
Ba1 Ba 0.0000 0.0000 0.0000
Mn1 Mn 0.0000 0.0000 0.5000
F1 F 0.0000 0.0000 0.2712
```

---

[5]
Rb2BaMnF6: relaxed, GGA+U.

The energy above the lowest structure with this stoichiometry is 0 meV per atom. The volume is 20.734 Å³ per atom.

Structure (CIF):
```
data_Rb2BaMnF6
_chemical_formula_sum 'Rb4 Ba2 Mn2 F12'
_cell_length_a 6.3679
_cell_length_b 9.3057
_cell_length_c 6.9978
_cell_angle_alpha 90.00
_cell_angle_beta 90.00
_cell_angle_gamma 90.00
_space_group_name_H-M_alt 'P m m n'
_space_group_IT_number 59
loop_
_space_group_symop_operation_xyz
'x,y,z'
'-x,-y,-z'
'-x+1/2,-y+1/2,z'
'x+1/2,y+1/2,-z'
'x+1/2,-y,-z'
'-x+1/2,y,z'
'-x,y+1/2,-z'
'x,-y+1/2,z'
loop_
_atom_site_label
_atom_site_type_symbol
_atom_site_fract_x
_atom_site_fract_y
_atom_site_fract_z
Rb1 Rb 0.2500 0.0303 0.1898
Ba1 Ba 0.2500 0.2500 0.7024
Mn1 Mn 0.2500 0.7500 0.7869
F1 F 0.0006 0.2500 0.4148
F2 F 0.0179 0.7500 0.0152
F3 F 0.2500 0.5178 0.7896
```

---

[6]
BaTi2MnF: relaxed, GGA+U.

The volume is 25.625 Å³ per atom. As for the electronic total energy: -5.03 eV/atom.

Structure (CIF):
```
data_BaTi2MnF
_chemical_formula_sum 'Ba1 Ti2 Mn1 F1'
_cell_length_a 4.2124
_cell_length_b 4.2124
_cell_length_c 7.2205
_cell_angle_alpha 90.00
_cell_angle_beta 90.00
_cell_angle_gamma 90.00
_space_group_name_H-M_alt 'P 4/m m m'
_space_group_IT_number 123
_space_group_name_Hall '-P 4 2'
loop_
_atom_site_label
_atom_site_type_symbol
_atom_site_fract_x
_atom_site_fract_y
_atom_site_fract_z
Ba1 Ba 0.0000 0.0000 0.0000
Ti1 Ti 0.0000 0.5000 0.5000
Mn1 Mn 0.5000 0.5000 0.5000
F1 F 0.5000 0.5000 0.0000
```

---

[7]
BaMn2Tl3F9: relaxed, GGA+U.

The volume is 19.222 Å³ per atom. As for the electronic total energy: -5.25 eV/atom.

Structure (CIF):
```
data_BaMn2Tl3F9
_chemical_formula_sum 'Ba1 Mn2 Tl3 F9'
_cell_length_a 6.2653
_cell_length_b 6.2653
_cell_length_c 8.4818
_cell_angle_alpha 90.00
_cell_angle_beta 90.00
_cell_angle_gamma 120.00
_space_group_name_H-M_alt 'P -3 m 1'
_space_group_IT_number 164
_space_group_name_Hall '-P 3 2"'
loop_
_atom_site_label
_atom_site_type_symbol
_atom_site_fract_x
_atom_site_fract_y
_atom_site_fract_z
Ba1 Ba 0.0000 0.0000 0.0000
Mn1 Mn 0.3333 0.6667 0.6562
Tl1 Tl 0.0000 0.0000 0.5000
Tl2 Tl 0.3333 0.6667 0.2465
F1 F 0.0000 0.5000 0.5000
F2 F 0.1714 0.3428 0.7882
```

---

[8]
BaMn3Tl2F12: relaxed, GGA+U.

The volume is 17.083 Å³ per atom. As for the electronic total energy: -5.48 eV/atom.

Structure (CIF):
```
data_BaMn3Tl2F12
_chemical_formula_sum 'Ba3 Mn9 Tl6 F36'
_cell_length_a 7.8847
_cell_length_b 7.8847
_cell_length_c 17.1341
_cell_angle_alpha 90.00
_cell_angle_beta 90.00
_cell_angle_gamma 120.00
_space_group_name_H-M_alt 'R -3 m'
_space_group_IT_number 166
_space_group_name_Hall '-R 3 2"'
loop_
_atom_site_label
_atom_site_type_symbol
_atom_site_fract_x
_atom_site_fract_y
_atom_site_fract_z
Ba1 Ba 0.0000 0.0000 0.0000
Mn1 Mn 0.0000 0.5000 0.5000
Tl1 Tl 0.0000 0.0000 0.3820
F1 F 0.0475 0.5238 0.3895
F2 F 0.0917 0.5459 0.8102
```

---

[9]
BaMnTl2F6: relaxed, GGA+U.

The volume is 19.696 Å³ per atom. As for the electronic total energy: -5.17 eV/atom.

Structure (CIF):
```
data_BaMnTl2F6
_chemical_formula_sum 'Ba2 Mn2 Tl4 F12'
_cell_length_a 6.6658
_cell_length_b 6.4159
_cell_length_c 11.3027
_cell_angle_alpha 90.00
_cell_angle_beta 125.42
_cell_angle_gamma 90.00
_space_group_name_H-M_alt 'P 1 21/c 1'
_space_group_IT_number 14
loop_
_space_group_symop_operation_xyz
'x,y,z'
'-x,-y,-z'
'-x,y+1/2,-z+1/2'
'x,-y+1/2,z+1/2'
loop_
_atom_site_label
_atom_site_type_symbol
_atom_site_fract_x
_atom_site_fract_y
_atom_site_fract_z
Ba1 Ba 0.0000 0.0000 0.0000
Mn1 Mn 0.5000 0.0000 0.5000
Tl1 Tl 0.2711 0.0291 0.7637
F1 F 0.1862 0.0100 0.2759
F2 F 0.3022 0.6932 0.0578
F3 F 0.3653 0.2172 0.0388
```

---

[10]
BaMnVF2: relaxed, GGA+U.

The volume is 25.545 Å³ per atom. As for the electronic total energy: -4.70 eV/atom.

Structure (CIF):
```
data_BaMnVF2
_chemical_formula_sum 'Ba1 Mn1 V1 F2'
_cell_length_a 4.3262
_cell_length_b 4.3262
_cell_length_c 6.8243
_cell_angle_alpha 90.00
_cell_angle_beta 90.00
_cell_angle_gamma 90.00
_space_group_name_H-M_alt 'P 4/m m m'
_space_group_IT_number 123
_space_group_name_Hall '-P 4 2'
loop_
_atom_site_label
_atom_site_type_symbol
_atom_site_fract_x
_atom_site_fract_y
_atom_site_fract_z
Ba1 Ba 0.0000 0.0000 0.0000
Mn1 Mn 0.5000 0.5000 0.0000
V1 V 0.0000 0.0000 0.5000
F1 F 0.0000 0.5000 0.5000
```

---

[11]
Ba2MnWF: relaxed, GGA+U.

The volume is 32.227 Å³ per atom. As for the electronic total energy: -4.29 eV/atom.

Structure (CIF):
```
data_Ba2MnWF
_chemical_formula_sum 'Ba2 Mn1 W1 F1'
_cell_length_a 6.0132
_cell_length_b 6.0132
_cell_length_c 4.4564
_cell_angle_alpha 90.00
_cell_angle_beta 90.00
_cell_angle_gamma 90.00
_space_group_name_H-M_alt 'P 4/m m m'
_space_group_IT_number 123
_space_group_name_Hall '-P 4 2'
loop_
_atom_site_label
_atom_site_type_symbol
_atom_site_fract_x
_atom_site_fract_y
_atom_site_fract_z
Ba1 Ba 0.0000 0.5000 0.0000
Mn1 Mn 0.0000 0.0000 0.5000
W1 W 0.5000 0.5000 0.5000
F1 F 0.5000 0.5000 0.0000
```